{
  "formula": "BeVI2O",
  "functional": "GGA+U",
  "state": "optimized geometry",
  "lattice_angstrom": [[-4.3172, -2.7030, 3.0995], [1.1927, -2.7608, -0.7464], [3.4127, 0.1530, 4.8869]],
  "species": ["I", "I", "Be", "O", "V"],
  "frac_coords": [[0.0000, 0.0000, 0.5000], [0.5000, 0.0000, 0.0000], [0.0000, 0.0000, 0.0000], [0.0000, 0.5000, 0.0000], [0.5000, 0.5000, 0.5000]],
  "dft_energy_ev_per_cell": -21.04,
  "n_ef_per_ev_fu": 1.6
}